1.
Below is a crystal of Zr8As5 relaxed with PBEsol, with properties calculated at the meta-GGA SCAN level.

Output
density of states at the Fermi level	8.022	states/eV/f.u.
distance to the lowest polymorph of the same formula	15.5	meV/atom
total magnetization	0.27	μB per formula unit
energy of formation from the pure elements	-1055	meV per atom
V	20.22	Å³/atom

Lattice parameters (Å, degrees): 3.688 10.058 28.344 90.00 90.00 90.00
Space group Pmc2_1 (No. 26)
Asymmetric unit:
Zr1 0.000 0.005 0.019 [2 per cell]
Zr2 0.000 0.168 0.906 [2 per cell]
Zr3 0.000 0.248 0.736 [2 per cell]
Zr4 0.000 0.259 0.179 [2 per cell]
Zr5 0.000 0.335 0.565 [2 per cell]
Zr6 0.000 0.493 0.451 [2 per cell]
Zr7 0.500 0.027 0.244 [2 per cell]
Zr8 0.500 0.079 0.116 [2 per cell]
Zr9 0.500 0.085 0.362 [2 per cell]
Zr10 0.500 0.237 0.654 [2 per cell]
Zr11 0.500 0.241 0.471 [2 per cell]
Zr12 0.500 0.259 0.000 [2 per cell]
Zr13 0.500 0.263 0.817 [2 per cell]
Zr14 0.500 0.417 0.353 [2 per cell]
Zr15 0.500 0.418 0.108 [2 per cell]
Zr16 0.500 0.481 0.227 [2 per cell]
As1 0.000 0.031 0.676 [2 per cell]
As2 0.000 0.062 0.812 [2 per cell]
As3 0.000 0.236 0.073 [2 per cell]
As4 0.000 0.263 0.399 [2 per cell]
As5 0.000 0.442 0.660 [2 per cell]
As6 0.000 0.467 0.796 [2 per cell]
As7 0.500 0.017 0.949 [2 per cell]
As8 0.500 0.142 0.564 [2 per cell]
As9 0.500 0.362 0.906 [2 per cell]
As10 0.500 0.482 0.520 [2 per cell]


2.
Below is a crystal of MnCd2Co relaxed with PBEsol, with properties calculated at the meta-GGA SCAN level.

Output
density of states at the Fermi level	1.968	states/eV/f.u.
distance to the lowest polymorph of the same formula	31.2	meV/atom
total magnetization	5.60	μB per formula unit
energy of formation from the pure elements	154	meV per atom
V	15.43	Å³/atom

Lattice parameters (Å, degrees): 5.583 7.742 2.855 90.00 90.00 90.00
Space group Cmmm (No. 65)
Asymmetric unit:
Mn1 0.000 0.000 0.000 [2 per cell]
Cd1 0.250 0.250 0.500 [4 per cell]
Co1 0.000 0.500 0.000 [2 per cell]


3.
Below is a crystal of LiSc2P relaxed with PBEsol, with properties calculated at the meta-GGA SCAN level.

Output
density of states at the Fermi level	2.103	states/eV/f.u.
total magnetization	0.00	μB per formula unit
energy of formation from the pure elements	-591	meV per atom
V	17.31	Å³/atom

Lattice parameters (Å, degrees): 3.499 4.106 9.640 90.00 90.00 90.00
Space group Imm2 (No. 44)
Asymmetric unit:
Li1 0.000 0.000 0.000 [2 per cell]
Sc1 0.000 0.000 0.434 [2 per cell]
Sc2 0.000 0.500 0.206 [2 per cell]
P1 0.000 0.500 0.684 [2 per cell]


4.
Below is a crystal of CaLa2Zn2 relaxed with PBEsol, with properties calculated at the meta-GGA SCAN level.

Output
density of states at the Fermi level	5.227	states/eV/f.u.
total magnetization	0.00	μB per formula unit
energy of formation from the pure elements	-247	meV per atom
V	27.60	Å³/atom

Lattice parameters (Å, degrees): 8.619 8.619 3.716 90.00 90.00 90.00
Space group P4/mbm (No. 127)
Asymmetric unit:
Ca1 0.000 0.000 0.000 [2 per cell]
La1 0.164 0.336 0.500 [4 per cell]
Zn1 0.129 0.629 0.000 [4 per cell]


5.
Below is a crystal of HgBPS2 relaxed with PBEsol, with properties calculated at the meta-GGA SCAN level.

Output
density of states at the Fermi level	2.659	states/eV/f.u.
total magnetization	1.69	μB per formula unit
formation energy without anion corrections	1920	meV/atom
V	24.07	Å³/atom

Lattice parameters (Å, degrees): 4.964 4.964 4.883 90.00 90.00 90.00
Space group P4/mmm (No. 123)
Asymmetric unit:
Hg1 0.000 0.000 0.000 [1 per cell]
B1 0.500 0.500 0.500 [1 per cell]
P1 0.000 0.000 0.500 [1 per cell]
S1 0.000 0.500 0.000 [2 per cell]


6.
Below is a crystal of ScAl2Ru relaxed with PBEsol, with properties calculated at the meta-GGA SCAN level.

Output
density of states at the Fermi level	2.717	states/eV/f.u.
total magnetization	0.00	μB per formula unit
energy of formation from the pure elements	-514	meV per atom
V	15.98	Å³/atom

Lattice parameters (Å, degrees): 2.943 4.250 5.309 90.00 105.76 90.00
Space group P2/m (No. 10)
Asymmetric unit:
Sc1 0.000 0.000 0.000 [1 per cell]
Al1 0.337 0.500 0.725 [2 per cell]
Ru1 0.500 0.000 0.500 [1 per cell]


7.
Below is a crystal of HgBSb3 relaxed with PBEsol, with properties calculated at the meta-GGA SCAN level.

Output
density of states at the Fermi level	2.614	states/eV/f.u.
total magnetization	0.00	μB per formula unit
formation energy without anion corrections	778	meV/atom
V	22.42	Å³/atom

Lattice parameters (Å, degrees): 4.821 4.821 4.821 90.00 90.00 90.00
Space group Pm-3m (No. 221)
Asymmetric unit:
Hg1 0.000 0.000 0.000 [1 per cell]
B1 0.500 0.500 0.500 [1 per cell]
Sb1 0.000 0.500 0.500 [3 per cell]


8.
Below is a crystal of InH3Br relaxed with PBEsol, with properties calculated at the meta-GGA SCAN level.

Output
density of states at the Fermi level	2.064	states/eV/f.u.
total magnetization	1.08	μB per formula unit
uncorrected energy	-12.142	eV per atom
V	12.27	Å³/atom

Lattice parameters (Å, degrees): 3.944 3.944 3.944 90.00 90.00 90.00
Space group Pm-3m (No. 221)
Asymmetric unit:
In1 0.000 0.000 0.000 [1 per cell]
H1 0.000 0.000 0.500 [3 per cell]
Br1 0.500 0.500 0.500 [1 per cell]


9.
Below is a crystal of PrCo4B4 relaxed with PBEsol, with properties calculated at the meta-GGA SCAN level.

Output
density of states at the Fermi level	3.825	states/eV/f.u.
total magnetization	0.00	μB per formula unit
energy of formation from the pure elements	-376	meV per atom
V	10.24	Å³/atom

Lattice parameters (Å, degrees): 6.998 6.998 3.763 90.00 90.00 90.00
Space group P4_2/n (No. 86, origin choice 2)
Asymmetric unit:
Pr1 0.250 0.250 0.250 [2 per cell]
Co1 0.109 0.634 0.145 [8 per cell]
B1 0.048 0.911 0.148 [8 per cell]


10.
Below is a crystal of ZrAg relaxed with PBEsol, with properties calculated at the meta-GGA SCAN level.

Output
density of states at the Fermi level	1.790	states/eV/f.u.
total magnetization	0.00	μB per formula unit
energy of formation from the pure elements	-32	meV per atom
V	19.12	Å³/atom

Lattice parameters (Å, degrees): 2.851 11.402 4.706 90.00 90.00 90.00
Space group Cmcm (No. 63)
Asymmetric unit:
Zr1 0.000 0.163 0.250 [4 per cell]
Ag1 0.000 0.430 0.250 [4 per cell]


11.
Below is a crystal of GdSe relaxed with PBEsol, with properties calculated at the meta-GGA SCAN level.

Output
density of states at the Fermi level	1.041	states/eV/f.u.
total magnetization	7.18	μB per formula unit
formation energy without anion corrections	-1932	meV/atom
V	23.74	Å³/atom

Lattice parameters (Å, degrees): 5.748 5.748 5.748 90.00 90.00 90.00
Space group Fm-3m (No. 225)
Asymmetric unit:
Gd1 0.000 0.000 0.000 [4 per cell]
Se1 0.000 0.000 0.500 [4 per cell]


12.
Below is a crystal of NaGe2Pt2 relaxed with PBEsol, with properties calculated at the meta-GGA SCAN level.

Output
density of states at the Fermi level	1.497	states/eV/f.u.
total magnetization	0.00	μB per formula unit
energy of formation from the pure elements	-597	meV per atom
V	18.61	Å³/atom

Lattice parameters (Å, degrees): 5.576 6.670 5.712 90.00 118.86 90.00
Space group C2/m (No. 12)
Asymmetric unit:
Na1 0.000 0.000 0.000 [2 per cell]
Ge1 0.128 0.500 0.258 [4 per cell]
Pt1 0.000 0.249 0.500 [4 per cell]


What did the third record say?
Below is a crystal of LiSc2P relaxed with PBEsol, with properties calculated at the meta-GGA SCAN level.

Output
density of states at the Fermi level	2.103	states/eV/f.u.
total magnetization	0.00	μB per formula unit
energy of formation from the pure elements	-591	meV per atom
V	17.31	Å³/atom

Lattice parameters (Å, degrees): 3.499 4.106 9.640 90.00 90.00 90.00
Space group Imm2 (No. 44)
Asymmetric unit:
Li1 0.000 0.000 0.000 [2 per cell]
Sc1 0.000 0.000 0.434 [2 per cell]
Sc2 0.000 0.500 0.206 [2 per cell]
P1 0.000 0.500 0.684 [2 per cell]


> Among the records above, which one has the highest density of states at the Fermi level?

Zr8As5


> Which value of V does entry 3 give?

17.31 Å³/atom